# ZrCuSn2Te5, optimized geometry, DFT PBE-GGA
# formation energy without anion corrections = -3.57 eV per formula unit
# M_tot = 0.0 Bohr magnetons per cell
# DOS at the Fermi energy = 2.8 states/eV/f.u.
# uncorrected energy = -4.437 eV per atom
# V = 556 Å³/cell
data_ZrCuSn2Te5
_symmetry_space_group_name_H-M 'P 1'
_symmetry_Int_Tables_number 1
_cell_length_a 4.113
_cell_length_b 9.784
_cell_length_c 14.120
_cell_angle_alpha 90.00
_cell_angle_beta 90.00
_cell_angle_gamma 102.13
loop_
_symmetry_equiv_pos_as_xyz
'x,y,z'
loop_
_atom_site_label
_atom_site_type_symbol
_atom_site_fract_x
_atom_site_fract_y
_atom_site_fract_z
_atom_site_occupancy
Te1 Te 0.295 0.590 0.385 1
Te2 Te 0.953 0.905 0.562 1
Cu1 Cu 0.416 0.833 0.461 1
Te3 Te 0.352 0.705 0.998 1
Sn1 Sn 0.878 0.756 0.144 1
Sn2 Sn 0.122 0.244 0.644 1
Sn3 Sn 0.088 0.176 0.275 1
Sn4 Sn 0.912 0.824 0.775 1
Te4 Te 0.280 0.560 0.678 1
Zr1 Zr 0.199 0.397 0.029 1
Te5 Te 0.648 0.295 0.498 1
Te6 Te 0.476 0.951 0.293 1
Te7 Te 0.524 0.049 0.793 1
Te8 Te 0.720 0.440 0.178 1
Te9 Te 0.705 0.410 0.885 1
Cu2 Cu 0.584 0.167 0.961 1
Te10 Te 0.047 0.095 0.062 1
Zr2 Zr 0.801 0.603 0.529 1